1.
# LiCd3Hg3

LiCd3Hg3 after structural relaxation (PBE, the Alexandria database).

POSCAR file:
```
LiCd3Hg3
1.0
8.0073 0.0000 0.0000
0.0000 8.0073 0.0000
0.0000 0.0000 8.0073
Li Cd Hg
2 6 6
Direct
0.0000 0.0000 0.0000 Li
0.5000 0.5000 0.5000 Li
0.0000 0.2500 0.5000 Cd
0.0000 0.7500 0.5000 Cd
0.2500 0.5000 0.0000 Cd
0.5000 0.0000 0.2500 Cd
0.5000 0.0000 0.7500 Cd
0.7500 0.5000 0.0000 Cd
0.0000 0.5000 0.2500 Hg
0.0000 0.5000 0.7500 Hg
0.2500 0.0000 0.5000 Hg
0.5000 0.2500 0.0000 Hg
0.5000 0.7500 0.0000 Hg
0.7500 0.0000 0.5000 Hg
```

The relative energy among the computed polymorphs comes out at 328 meV/atom. The value obtained for the formation energy is 0.24 eV/atom.

2.
# MnZnAu4

MnZnAu4 after structural relaxation (PBE, the Alexandria database).

POSCAR file:
```
MnZnAu4
1.0
4.7384 0.0000 0.0000
0.7292 4.6987 0.0000
0.3668 2.3414 4.5652
Mn Zn Au
1 1 4
Direct
0.0000 0.0000 0.0000 Mn
0.5000 0.5000 0.0000 Zn
0.0000 0.3415 0.3165 Au
0.0000 0.6585 0.6835 Au
0.4996 0.1578 0.6855 Au
0.5004 0.8422 0.3145 Au
```

The relative energy among the computed polymorphs comes out at 0 meV/atom. The value obtained for the formation energy is -0.11 eV/atom.

3.
# Na2LaCeO4

Na2LaCeO4 after structural relaxation (PBE, the Alexandria database).

POSCAR file:
```
Na2LaCeO4
1.0
6.0118 0.0000 0.0000
0.0000 3.6323 0.0000
-2.2138 0.0000 5.8970
Na La Ce O
2 1 1 4
Direct
0.0000 0.0000 0.0000 Na
0.0000 0.5000 0.5000 Na
0.5000 0.0000 0.5000 La
0.5000 0.5000 0.0000 Ce
0.2828 0.0000 0.7659 O
0.2838 0.5000 0.2551 O
0.7162 0.5000 0.7449 O
0.7172 0.0000 0.2341 O
```

The calculation puts the formation energy (no corrections) at -2613 meV per atom.

4.
# TiTlOsI2

TiTlOsI2 after structural relaxation (PBE, the Alexandria database).

POSCAR file:
```
TiTlOsI2
1.0
5.6985 0.0000 0.0000
0.0000 5.6985 0.0000
0.0000 0.0000 4.7197
Ti Tl Os I
1 1 1 2
Direct
0.0000 0.0000 0.0000 Ti
0.5000 0.5000 0.5000 Tl
0.0000 0.0000 0.5000 Os
0.0000 0.5000 0.0000 I
0.5000 0.0000 0.0000 I
```

The calculation puts the formation energy (no corrections) at 547 meV per atom.

Number 1: total DFT energy (no corrections) -0.554 eV/atom, volume 36.7 Å³/atom. Number 2: total DFT energy (no corrections) -4.040 eV/atom, volume 16.9 Å³/atom. Number 3: total DFT energy (no corrections) -6.779 eV/atom, volume 16.1 Å³/atom. Number 4: total DFT energy (no corrections) -4.371 eV/atom, volume 30.7 Å³/atom.